Mg4Hg after structural relaxation, computed with PBE.

## Properties
**E_form**: 0.648 eV/f.u.
**Excess energy over the best structure of this formula in the dataset**: 21.9 kJ per mole of atoms

a = 8.285 Å, b = 8.285 Å, c = 8.285 Å
α = 152.04°, β = 152.04°, γ = 39.95°
Sites, in units of the cell vectors:
Mg 0.750 0.250 0.500
Mg 0.406 0.406 0.000
Mg 0.594 0.594 0.000
Mg 0.250 0.750 0.500
Hg 0.000 0.000 0.000